# 1
## LaNbRu (GGA-PBE)

Data for an optimized crystal structure of LaNbRu.

DOS at the Fermi energy (states/eV/atom): 0.87
E_tot (eV per atom): -8.0072

```
LaNbRu
1.0
-2.371 1.616 3.134
3.217 -2.624 0.907
2.912 3.676 0.307
Ru Nb La
1 1 1
direct
0.000 0.000 0.052 Ru
0.667 0.333 0.977 Nb
0.333 0.667 0.495 La
```

# 2
## LaNbSb2Ru (GGA-PBE)

Data for an optimized crystal structure of LaNbSb2Ru.

DOS at the Fermi energy (states/eV/atom): 1.24
Formation energy without anion corrections (meV per atom): 855
E_tot (eV per atom): -5.6483

```
LaNbSb2Ru
1.0
-3.650 2.548 -2.842
-3.134 0.345 4.335
2.243 4.613 1.255
La Nb Sb Ru
1 1 2 1
direct
0.000 0.500 0.000 La
0.000 0.000 0.000 Nb
0.500 0.000 0.000 Sb
0.000 0.000 0.500 Sb
0.500 0.500 0.500 Ru
```

# 3
## LaNbSi2Ru (GGA-PBE)

Data for an optimized crystal structure of LaNbSi2Ru.

DOS at the Fermi energy (states/eV/atom): 0.69
Formation energy without anion corrections (meV per atom): -658
E_tot (eV per atom): -7.6813

```
LaNbSi2Ru
1.0
4.128 0.000 0.000
0.000 4.128 0.000
-2.064 -2.064 5.565
Si Nb Ru La
2 1 1 1
direct
0.386 0.386 0.772 Si
0.614 0.614 0.228 Si
0.750 0.250 0.500 Nb
0.250 0.750 0.500 Ru
0.000 0.000 0.000 La
```

# 4
## LaTaNbRu2 (GGA-PBE)

Data for an optimized crystal structure of LaTaNbRu2.

DOS at the Fermi energy (states/eV/atom): 0.79
E_tot (eV per atom): -9.3258

```
LaTaNbRu2
1.0
-0.017 -2.297 3.770
-2.309 -3.209 -1.966
5.781 0.324 -2.361
Ta La Ru Nb
1 1 2 1
direct
0.250 0.750 0.500 Ta
0.000 0.000 0.000 La
0.624 0.624 0.247 Ru
0.376 0.376 0.753 Ru
0.750 0.250 0.500 Nb
```

Q: Look up the E_tot of the first one.
A: -8.0072 eV per atom